[1]
Density functional theory data (PBE) for crystalline ErLuBeAl at its relaxed geometry.

- DOS(E_F): 11.16 states/eV per cell
- Raw total energy: -4.28 eV/atom
- Total moment: 0.00 μB/f.u.

Unit cell a=6.9253 b=6.9253 c=6.9253 alpha=90.00 beta=90.00 gamma=90.00
Closest atoms and distances in Å follow each position.
Space group F-43m (No. 216)
Unique sites:
Er 0.0000 0.0000 0.0000 [4 per cell]  4 Be 3.00, 4 Al 3.00
Lu 0.0000 0.0000 0.5000 [4 per cell]  4 Be 3.00, 4 Al 3.00
Be 0.2500 0.2500 0.7500 [4 per cell]  4 Er 3.00, 4 Lu 3.00
Al 0.2500 0.2500 0.2500 [4 per cell]  4 Lu 3.00, 4 Er 3.00


[2]
Density functional theory data (PBE) for crystalline Er2BeAl2Ni5 at its relaxed geometry.

- DOS(E_F): 14.64 states/eV per cell
- Raw total energy: -5.23 eV/atom
- Total moment: 0.00 μB/f.u.

Unit cell a=9.9391 b=9.9391 c=2.9016 alpha=90.00 beta=90.00 gamma=90.00
Closest atoms and distances in Å follow each position.
Space group P4/mbm (No. 127)
Unique sites:
Er 0.1709 0.3291 0.0000 [4 per cell]  3 Al 2.76-3.04, 6 Ni 2.81-3.02, 2 Er 2.90
Be 0.0000 0.0000 0.0000 [2 per cell]  8 Ni 2.37
Al 0.1329 0.6329 0.0000 [4 per cell]  6 Ni 2.37-2.49
Ni 0.0000 0.5000 0.5000 [2 per cell]  4 Al 2.37
Ni 0.0510 0.8191 0.5000 [8 per cell]  2 Be 2.37, 2 Al 2.49, 2 Ni 2.64


[3]
Density functional theory data (PBE) for crystalline Er2Be2AlNi5 at its relaxed geometry.

- DOS(E_F): 11.35 states/eV per cell
- Raw total energy: -5.38 eV/atom
- Total moment: 0.00 μB/f.u.

Unit cell a=9.0162 b=9.0162 c=3.2840 alpha=90.00 beta=90.00 gamma=90.00
Closest atoms and distances in Å follow each position.
Space group P4/mbm (No. 127)
Unique sites:
Er 0.1805 0.3195 0.0000 [4 per cell]  3 Be 2.62-2.72, 10 Ni 2.83-2.90
Be 0.1139 0.6139 0.0000 [4 per cell]  6 Ni 2.19-2.27
Al 0.0000 0.0000 0.0000 [2 per cell]  8 Ni 2.63
Ni 0.0000 0.5000 0.5000 [2 per cell]  4 Be 2.19
Ni 0.0645 0.7809 0.5000 [8 per cell]  2 Be 2.27


[4]
Density functional theory data (PBE) for crystalline ErBeAl3Pd at its relaxed geometry.

- DOS(E_F): 8.78 states/eV per cell
- Raw total energy: -4.38 eV/atom
- Total moment: 0.00 μB/f.u.

Unit cell a=5.9759 b=11.8433 c=5.9050 alpha=90.00 beta=90.00 gamma=90.00
Closest atoms and distances in Å follow each position.
Space group Cmcm (No. 63)
Unique sites:
Er 0.0000 0.2204 0.2500 [4 per cell]  1 Be 2.61
Be 0.0000 0.4408 0.2500 [4 per cell]  5 Al 2.34-2.39, 1 Er 2.61
Al 0.0000 0.3571 0.7500 [4 per cell]  1 Be 2.39, 1 Pd 2.52
Al 0.2199 0.0000 0.0000 [8 per cell]  2 Be 2.34, 2 Pd 2.62
Pd 0.0000 0.1447 0.7500 [4 per cell]  5 Al 2.52-2.62


[5]
Density functional theory data (PBE) for crystalline ErBeAl2Pd4 at its relaxed geometry.

- DOS(E_F): 8.92 states/eV per cell
- Raw total energy: -5.37 eV/atom
- Total moment: 0.00 μB/f.u.

Unit cell a=4.2625 b=4.2625 c=24.4255 alpha=90.00 beta=90.00 gamma=120.00
Closest atoms and distances in Å follow each position.
Space group R-3m (No. 166, hexagonal axes)
Unique sites:
Er 0.0000 0.0000 0.0000 [3 per cell]  8 Pd 3.01-3.28, 6 Al 3.34
Be 0.0000 0.0000 0.5000 [3 per cell]  8 Pd 2.34-2.58
Al 0.0000 0.0000 0.2406 [6 per cell]  7 Pd 2.52-2.66
Pd 0.0000 0.0000 0.1343 [6 per cell]  3 Be 2.58, 4 Al 2.60-2.66
Pd 0.0000 0.0000 0.4042 [6 per cell]  1 Be 2.34, 3 Al 2.52


[6]
Density functional theory data (PBE) for crystalline PrErBeAl at its relaxed geometry.

- DOS(E_F): 14.57 states/eV per cell
- Raw total energy: -4.27 eV/atom
- Total moment: 0.00 μB/f.u.

Unit cell a=7.1722 b=7.1722 c=7.1722 alpha=90.00 beta=90.00 gamma=90.00
Closest atoms and distances in Å follow each position.
Space group F-43m (No. 216)
Unique sites:
Pr 0.0000 0.0000 0.0000 [4 per cell]  4 Be 3.11, 4 Al 3.11
Er 0.0000 0.0000 0.5000 [4 per cell]  4 Al 3.11, 4 Be 3.11
Be 0.2500 0.2500 0.2500 [4 per cell]  4 Pr 3.11, 4 Er 3.11
Al 0.2500 0.2500 0.7500 [4 per cell]  4 Pr 3.11, 4 Er 3.11


[7]
Density functional theory data (PBE) for crystalline ErBe2AlPt4 at its relaxed geometry.

- DOS(E_F): 11.95 states/eV per cell
- Raw total energy: -5.84 eV/atom
- Total moment: 0.00 μB/f.u.

Unit cell a=4.1048 b=4.1048 c=25.4641 alpha=90.00 beta=90.00 gamma=120.00
Closest atoms and distances in Å follow each position.
Space group R-3m (No. 166, hexagonal axes)
Unique sites:
Er 0.0000 0.0000 0.0000 [3 per cell]  6 Pt 2.95, 6 Be 3.25
Be 0.0000 0.0000 0.2459 [6 per cell]  6 Pt 2.42-2.61
Al 0.0000 0.0000 0.5000 [3 per cell]  8 Pt 2.49-2.54
Pt 0.0000 0.0000 0.1304 [6 per cell]  3 Al 2.54, 3 Be 2.61, 3 Pt 2.84
Pt 0.0000 0.0000 0.4023 [6 per cell]  3 Be 2.42, 1 Al 2.49


[8]
Density functional theory data (PBE) for crystalline Er2Be3AlPt4 at its relaxed geometry.

- DOS(E_F): 4.47 states/eV per cell
- Raw total energy: -5.80 eV/atom
- Total moment: 0.00 μB/f.u.

Unit cell a=4.0198 b=4.0198 c=9.8708 alpha=90.00 beta=90.00 gamma=90.00
Closest atoms and distances in Å follow each position.
Space group P-4m2 (No. 115)
Unique sites:
Er 0.0000 0.5000 0.2398 [2 per cell]  8 Pt 3.06-3.11, 6 Be 3.08-3.26, 2 Al 3.26
Be 0.0000 0.5000 0.8805 [2 per cell]  5 Pt 2.32-2.33
Be 0.5000 0.5000 0.5000 [1 per cell]  4 Pt 2.47
Al 0.0000 0.0000 0.5000 [1 per cell]  4 Pt 2.47
Pt 0.0000 0.0000 0.0000 [1 per cell]  4 Be 2.33
Pt 0.0000 0.5000 0.6456 [2 per cell]  3 Be 2.32-2.47, 2 Al 2.47
Pt 0.5000 0.5000 0.0000 [1 per cell]  4 Be 2.33


[9]
Density functional theory data (PBE) for crystalline ErBeAlPt3 at its relaxed geometry.

- DOS(E_F): 11.74 states/eV per cell
- Raw total energy: -5.85 eV/atom
- Total moment: 0.00 μB/f.u.

Unit cell a=6.2206 b=11.9244 c=5.6049 alpha=90.00 beta=90.00 gamma=90.00
Closest atoms and distances in Å follow each position.
Space group Cmcm (No. 63)
Unique sites:
Er 0.0000 0.2200 0.2500 [4 per cell]  2 Al 3.00, 1 Be 3.03, 8 Pt 3.08-3.29
Be 0.0000 0.4741 0.2500 [4 per cell]  5 Pt 2.23-2.36
Al 0.0000 0.1306 0.7500 [4 per cell]  5 Pt 2.36-2.52
Pt 0.0000 0.3281 0.7500 [4 per cell]  1 Al 2.36, 1 Be 2.36
Pt 0.2251 0.0000 0.0000 [8 per cell]  2 Be 2.23


[10]
Density functional theory data (PBE) for crystalline Er2BeAl4Pt3 at its relaxed geometry.

- DOS(E_F): 3.79 states/eV per cell
- Raw total energy: -5.51 eV/atom
- Total moment: 0.00 μB/f.u.

Unit cell a=4.0908 b=4.0908 c=10.7120 alpha=90.00 beta=90.00 gamma=90.00
Closest atoms and distances in Å follow each position.
Space group P-4m2 (No. 115)
Unique sites:
Er 0.0000 0.5000 0.2438 [2 per cell]  6 Pt 3.15-3.32, 8 Al 3.15-3.42, 2 Be 3.32
Be 0.5000 0.5000 0.0000 [1 per cell]  4 Al 2.46
Al 0.0000 0.0000 0.5000 [1 per cell]  4 Pt 2.54
Al 0.0000 0.5000 0.8729 [2 per cell]  2 Be 2.46, 3 Pt 2.46-2.49
Al 0.5000 0.5000 0.5000 [1 per cell]  4 Pt 2.54
Pt 0.0000 0.0000 0.0000 [1 per cell]  4 Al 2.46
Pt 0.0000 0.5000 0.6405 [2 per cell]  5 Al 2.49-2.54


[11]
Density functional theory data (PBE) for crystalline Er2Be2AlRh5 at its relaxed geometry.

- DOS(E_F): 9.95 states/eV per cell
- Raw total energy: -6.60 eV/atom
- Total moment: 0.00 μB/f.u.

Unit cell a=9.6249 b=9.6249 c=3.1723 alpha=90.00 beta=90.00 gamma=90.00
Closest atoms and distances in Å follow each position.
Space group P4/mbm (No. 127)
Unique sites:
Er 0.1763 0.3237 0.0000 [4 per cell]  3 Be 2.73-2.93, 10 Rh 2.88-3.03
Be 0.1230 0.6230 0.0000 [4 per cell]  6 Rh 2.31-2.32
Al 0.0000 0.0000 0.0000 [2 per cell]  8 Rh 2.65
Rh 0.0000 0.5000 0.5000 [2 per cell]  4 Be 2.31
Rh 0.0667 0.7901 0.5000 [8 per cell]  2 Be 2.32


[12]
Density functional theory data (PBE) for crystalline ErScBeAl at its relaxed geometry.

- DOS(E_F): 12.24 states/eV per cell
- Raw total energy: -4.76 eV/atom
- Total moment: 0.00 μB/f.u.

Unit cell a=6.7844 b=6.7844 c=6.7844 alpha=90.00 beta=90.00 gamma=90.00
Closest atoms and distances in Å follow each position.
Space group F-43m (No. 216)
Unique sites:
Er 0.0000 0.0000 0.0000 [4 per cell]  4 Be 2.94, 4 Al 2.94
Sc 0.0000 0.0000 0.5000 [4 per cell]  4 Al 2.94, 4 Be 2.94
Be 0.2500 0.2500 0.2500 [4 per cell]  4 Er 2.94, 4 Sc 2.94
Al 0.2500 0.2500 0.7500 [4 per cell]  4 Er 2.94, 4 Sc 2.94